[1]
Sr4CaAu | PBEsol | optimized geometry

Cell: 10.2472 10.2472 10.2472 Å, 90.00 90.00 90.00°
Last column: nearest neighbours and their distance in Å.
Space group F-43m (No. 216)
Symmetry-distinct sites (fractional):
Sr 0.1252 0.1252 0.1252 (multiplicity 16)  6 Sr 3.62-3.63
Ca 0.2500 0.2500 0.7500 (multiplicity 4)  12 Sr 4.25, 4 Au 4.44
Au 0.0000 0.0000 0.5000 (multiplicity 4)  12 Sr 4.25, 4 Ca 4.44

Output
Energy of formation in eV per formula unit: 2.43
VASP energy in eV per formula unit: -10.99

[2]
Ru2PbSe | PBEsol | optimized geometry

Cell: 6.4968 6.4968 6.4968 Å, 90.00 90.00 90.00°
Last column: nearest neighbours and their distance in Å.
Space group F-43m (No. 216)
Symmetry-distinct sites (fractional):
Ru 0.0000 0.0000 0.0000 (multiplicity 4)  4 Se 2.81, 4 Ru 2.81
Ru 0.2500 0.2500 0.2500 (multiplicity 4)  4 Pb 2.81, 4 Ru 2.81
Pb 0.0000 0.0000 0.5000 (multiplicity 4)  4 Se 2.81, 4 Ru 2.81
Se 0.2500 0.2500 0.7500 (multiplicity 4)  4 Pb 2.81, 4 Ru 2.81

Output
Excess energy over the best structure of this formula in the dataset in meV/atom: 608
VASP energy in eV per formula unit: -24.81

[3]
PSeBr2 | PBEsol | optimized geometry

Cell: 3.0524 3.0524 10.6128 Å, 90.00 90.00 90.00°
Last column: nearest neighbours and their distance in Å.
Space group P4mm (No. 99)
Symmetry-distinct sites (fractional):
P 0.0000 0.0000 0.0000 (multiplicity 1)  4 Se 2.46
Se 0.5000 0.5000 0.1111 (multiplicity 1)  4 P 2.46
Br 0.0000 0.0000 0.3983 (multiplicity 1)  4 Br 3.05
Br 0.5000 0.5000 0.7324 (multiplicity 1)  4 Br 3.05

Output
Excess energy over the best structure of this formula in the dataset in meV/atom: 265
VASP energy in eV per formula unit: -12.19

These records have magnetization values of 0.00, 0.06, 0.00 μB per atom, in the order they appear.